No. 1
## Cd2InSe (PBE-GGA)

Data for a relaxed Cd2InSe crystal.

Lattice parameters (Å, degrees): 5.6958 5.6958 5.6958 140.08 115.39 78.71
Element x y z (fractional)
Cd  0.0162  0.0162  0.0000
Cd  0.4838  0.4838  0.0000
Se  0.2500  0.7500  0.5000
In  0.7500  0.2500  0.5000

Final energy   -8.33 eV per cell
Crystal system   orthorhombic
Calculated volume   26.1 A^3/atom
ΔE_f (raw)   -0.07 eV per atom

No. 2
## Zr2TeAs (PBE-GGA)

Data for a relaxed Zr2TeAs crystal.

Lattice parameters (Å, degrees): 4.9665 4.9665 4.9665 60.00 60.00 60.00
Last column: magnetic moment on the atom in μB.
Element x y z (fractional)
As  0.5000  0.5000  0.5000  -0.04
Te  0.7500  0.7500  0.7500  -0.04
Zr  0.0000  0.0000  0.0000  0.40
Zr  0.2500  0.2500  0.2500  0.39

Final energy   -25.16 eV per cell
Crystal system   cubic
Calculated volume   21.7 A^3/atom
ΔE_f (raw)   -0.07 eV per atom

No. 3
## NdHoPuTl (PBE-GGA)

Data for a relaxed NdHoPuTl crystal.

Lattice parameters (Å, degrees): 5.4713 5.4713 5.4713 60.00 60.00 60.00
Last column: magnetic moment on the atom in μB.
Element x y z (fractional)
Pu  0.5000  0.5000  0.5000  5.70
Nd  0.7500  0.7500  0.7500  0.18
Ho  0.2500  0.2500  0.2500  0.30
Tl  0.0000  0.0000  0.0000  -0.04

Final energy   -25.88 eV per cell
Crystal system   cubic
Calculated volume   29.0 A^3/atom
Energy of formation   0.041 eV/atom

Record order is preserved below.
Total magnetization: 0.0, 1.0, 6.6 μB per formula unit